Here is crystalline Ba12Ga5O2 at its relaxed geometry from Alexandria. Energies are from PBE.

Values from the calculation:
Crystal system: monoclinic
E, eV for the cell shown: -59.056

a = 10.0843 Å, b = 10.0843 Å, c = 10.8086 Å
α = 104.62°, β = 104.62°, γ = 49.32°
Closest atoms and distances in Å follow each position.
Atoms (fractional coordinates):
Ba 0.9995 0.9995 0.1773  2 O 2.97, 1 Ga 3.23
Ba 0.0005 0.0005 0.8227  2 O 2.97, 1 Ga 3.23
Ba 0.0731 0.5874 0.9048  1 O 3.00, 1 Ga 3.36
Ba 0.1046 0.5933 0.4291  4 Ga 3.36-3.57
Ba 0.4067 0.8954 0.5709  4 Ga 3.36-3.57
Ba 0.4126 0.9269 0.0952  1 O 3.00, 1 Ga 3.36
Ba 0.4851 0.4851 0.1683  2 O 2.72
Ba 0.5149 0.5149 0.8317  2 O 2.72
Ba 0.5874 0.0731 0.9048  1 O 3.00, 1 Ga 3.36
Ba 0.5933 0.1046 0.4291  4 Ga 3.36-3.57
Ba 0.8954 0.4067 0.5709  4 Ga 3.36-3.57
Ba 0.9269 0.4126 0.0952  1 O 3.00, 1 Ga 3.36
Ga 0.1796 0.1796 0.8426  7 Ba 3.23-3.56
Ga 0.1833 0.1833 0.3472  7 Ba 3.36-3.57
Ga 0.5000 0.5000 0.5000  6 Ba 3.36-3.52
Ga 0.8167 0.8167 0.6528  7 Ba 3.36-3.57
Ga 0.8204 0.8204 0.1574  7 Ba 3.23-3.56
O 0.2702 0.7298 0.0000  6 Ba 2.72-3.00
O 0.7298 0.2702 0.0000  6 Ba 2.72-3.00